The following is a PBE calculation of a relaxed CsHf2Tl crystal, from Alexandria via LeMat-Bulk.

Unit cell a=7.3438 b=7.3438 c=7.3438 alpha=90.00 beta=90.00 gamma=90.00
Last column: nearest neighbours and their distance in Å.
Space group Fm-3m (No. 225)
Unique sites:
1 Cs 0.0000 0.0000 0.0000 (multiplicity 4)  8 Hf 3.18
2 Hf 0.2500 0.2500 0.2500 (multiplicity 8)  4 Tl 3.18, 4 Cs 3.18
3 Tl 0.0000 0.0000 0.5000 (multiplicity 4)  8 Hf 3.18

Output
The calculation puts the excess energy over the best structure of this formula in the dataset at 0 meV/atom. For the size of the total moment, the calculation gives 0.000 μB/f.u. The value obtained for the formation energy from the elements is 1065 meV/atom. The crystal system is cubic.